[1]
Material: Pm2PrSm4Sc
Method: DFT, GGA-PBE
State: optimized geometry

a b c (Å): 5.9573 5.9573 7.4300
angles (deg): 90.00 90.00 90.00
Sites, in units of the cell vectors:
Pm  0.0000  0.0000  0.0000
Pm  0.5000  0.5000  0.5000
Pr  0.0000  0.0000  0.5000
Sm  0.0000  0.5000  0.2374
Sm  0.0000  0.5000  0.7626
Sm  0.5000  0.0000  0.2374
Sm  0.5000  0.0000  0.7626
Sc  0.5000  0.5000  0.0000

Summary:
**Calculated formation energy**: 0.128 eV per atom
**SG**: P4/mmm
**E**: -4.81 eV per atom
**Total moment**: 0.00 μB per formula unit
**Calculated volume**: 32.96 A^3/atom
**D(E_F)**: 18.3 states/eV/cell

[2]
Material: SrPm2Dy
Method: DFT, GGA-PBE
State: optimized geometry

a b c (Å): 5.2769 5.2769 5.2564
angles (deg): 90.00 90.00 90.00
Sites, in units of the cell vectors:
Sr  0.0000  0.0000  0.0000
Pm  0.0000  0.5000  0.5000
Pm  0.5000  0.0000  0.5000
Dy  0.5000  0.5000  0.0000

Summary:
**Offset from the most stable computed form**: 81.7 meV per atom
**Calculated formation energy**: 0.177 eV per atom
**SG**: P4/mmm
**E**: -3.77 eV per atom
**Total moment**: 0.00 μB per formula unit
**Calculated volume**: 36.59 A^3/atom
**D(E_F)**: 6.7 states/eV/cell

[3]
Material: KSc2Tl
Method: DFT, GGA-PBE
State: optimized geometry

a b c (Å): 5.8994 5.8994 5.8994
angles (deg): 132.36 132.36 69.67
Sites, in units of the cell vectors:
K  0.0000  0.0000  0.0000
Sc  0.2500  0.7500  0.5000
Sc  0.5000  0.5000  0.0000
Tl  0.7500  0.2500  0.5000

Summary:
**Offset from the most stable computed form**: 270.6 meV per atom
**Calculated formation energy**: 0.373 eV per atom
**SG**: I-4m2
**E**: -3.66 eV per atom
**Total moment**: 0.00 μB per formula unit
**Calculated volume**: 27.49 A^3/atom
**D(E_F)**: 3.0 states/eV/cell

[4]
Material: MgHgF
Method: DFT, GGA-PBE
State: optimized geometry

a b c (Å): 14.6630 3.0937 3.0937
angles (deg): 60.00 90.00 90.00
Sites, in units of the cell vectors:
Mg  0.0000  0.0000  0.0000
Mg  0.5000  0.2214  0.2214
Hg  0.1755  0.3334  0.3334
Hg  0.8245  0.3334  0.3334
F  0.4226  0.8879  0.8879
F  0.5774  0.8879  0.8879

Summary:
**SG**: Amm2
**E**: -2.78 eV per atom
**Total moment**: 0.00 μB per formula unit
**Uncorrected formation energy**: -35.2 kcal/mol of atoms
**Calculated volume**: 20.26 A^3/atom
**D(E_F)**: 0.6 states/eV/cell

[5]
Material: Y2CoRe
Method: DFT, GGA-PBE
State: optimized geometry

a b c (Å): 6.0595 6.0595 6.0595
angles (deg): 103.59 103.59 122.00
Sites, in units of the cell vectors:
Y  0.0948  0.6250  0.9698
Y  0.3750  0.3448  0.4698
Y  0.6552  0.1250  0.0302
Y  0.8750  0.9052  0.5302
Co  0.0000  0.0000  0.0000
Co  0.7500  0.2500  0.5000
Re  0.2500  0.7500  0.5000
Re  0.5000  0.5000  0.0000

Summary:
**Calculated formation energy**: 0.659 eV per atom
**SG**: I-42d
**E**: -7.46 eV per atom
**Total moment**: 1.68 μB per formula unit
**Calculated volume**: 20.63 A^3/atom
**D(E_F)**: 8.4 states/eV/cell

[6]
Material: Tb5Dy2Bi5
Method: DFT, GGA-PBE
State: optimized geometry

a b c (Å): 7.6517 7.6517 12.7840
angles (deg): 110.64 110.64 33.79
Sites, in units of the cell vectors:
Tb  0.0000  0.0000  0.0000
Tb  0.1623  0.1623  0.5314
Tb  0.2119  0.2119  0.8359
Tb  0.7881  0.7881  0.1641
Tb  0.8377  0.8377  0.4686
Dy  0.4509  0.4509  0.7127
Dy  0.5491  0.5491  0.2873
Bi  0.1967  0.1967  0.2838
Bi  0.3803  0.3803  0.0640
Bi  0.5000  0.5000  0.5000
Bi  0.6197  0.6197  0.9360
Bi  0.8033  0.8033  0.7162

Summary:
**Calculated formation energy**: -0.603 eV per atom
**SG**: C2/m
**E**: -4.92 eV per atom
**Total moment**: 0.00 μB per formula unit
**Calculated volume**: 32.25 A^3/atom
**D(E_F)**: 8.1 states/eV/cell